[1]
HfCrSi3: PBEsol geometry, meta-GGA SCAN.

E_form (uncorrected)	1013	meV per atom

Cell lengths 4.937, 4.937, 4.937 Å; angles 90.00, 90.00, 90.00 degrees
Element x y z (fractional)
1 Hf 0.000 0.000 0.000
2 Cr 0.500 0.500 0.500
3 Si 0.000 0.000 0.500
4 Si 0.000 0.500 0.000
5 Si 0.500 0.000 0.000

[2]
HfCr3Si: PBEsol geometry, meta-GGA SCAN.

E_form (uncorrected)	544	meV per atom

Cell lengths 4.285, 4.285, 4.285 Å; angles 90.00, 90.00, 90.00 degrees
Element x y z (fractional)
1 Hf 0.000 0.000 0.000
2 Cr 0.000 0.500 0.500
3 Cr 0.500 0.000 0.500
4 Cr 0.500 0.500 0.000
5 Si 0.500 0.500 0.500

[3]
Hf6Cr5Si7: PBEsol geometry, meta-GGA SCAN.

E_form (uncorrected)	-616	meV per atom

Cell lengths 16.124, 5.032, 13.077 Å; angles 90.00, 90.00, 90.00 degrees
Element x y z (fractional)
1 Hf 0.035 0.250 0.150
2 Hf 0.057 0.250 0.769
3 Hf 0.063 0.250 0.529
4 Hf 0.150 0.750 0.183
5 Hf 0.176 0.750 0.469
6 Hf 0.210 0.250 0.318
7 Hf 0.290 0.750 0.818
8 Hf 0.324 0.250 0.969
9 Hf 0.350 0.250 0.683
10 Hf 0.437 0.750 0.029
11 Hf 0.443 0.750 0.269
12 Hf 0.465 0.750 0.650
13 Hf 0.535 0.250 0.350
14 Hf 0.557 0.250 0.731
15 Hf 0.563 0.250 0.971
16 Hf 0.650 0.750 0.317
17 Hf 0.676 0.750 0.031
18 Hf 0.710 0.250 0.182
19 Hf 0.790 0.750 0.682
20 Hf 0.824 0.250 0.531
21 Hf 0.850 0.250 0.817
22 Hf 0.937 0.750 0.471
23 Hf 0.943 0.750 0.231
24 Hf 0.965 0.750 0.850
25 Cr 0.064 0.750 0.645
26 Cr 0.130 0.013 0.961
27 Cr 0.130 0.487 0.961
28 Cr 0.185 0.002 0.662
29 Cr 0.185 0.498 0.662
30 Cr 0.315 0.502 0.162
31 Cr 0.315 0.998 0.162
32 Cr 0.370 0.513 0.461
33 Cr 0.370 0.987 0.461
34 Cr 0.436 0.250 0.145
35 Cr 0.564 0.750 0.855
36 Cr 0.630 0.013 0.539
37 Cr 0.630 0.487 0.539
38 Cr 0.685 0.002 0.838
39 Cr 0.685 0.498 0.838
40 Cr 0.815 0.502 0.338
41 Cr 0.815 0.998 0.338
42 Cr 0.870 0.513 0.039
43 Cr 0.870 0.987 0.039
44 Cr 0.936 0.250 0.355
45 Si 0.016 0.750 0.048
46 Si 0.062 0.503 0.341
47 Si 0.062 0.997 0.341
48 Si 0.126 0.750 0.807
49 Si 0.196 0.250 0.107
50 Si 0.215 0.250 0.820
51 Si 0.242 0.250 0.520
52 Si 0.258 0.750 0.020
53 Si 0.285 0.750 0.320
54 Si 0.304 0.750 0.607
55 Si 0.374 0.250 0.307
56 Si 0.438 0.003 0.841
57 Si 0.438 0.497 0.841
58 Si 0.484 0.250 0.548
59 Si 0.516 0.750 0.452
60 Si 0.562 0.503 0.159
61 Si 0.562 0.997 0.159
62 Si 0.626 0.750 0.693
63 Si 0.696 0.250 0.393
64 Si 0.715 0.250 0.680
65 Si 0.742 0.250 0.980
66 Si 0.758 0.750 0.480
67 Si 0.785 0.750 0.180
68 Si 0.804 0.750 0.893
69 Si 0.874 0.250 0.193
70 Si 0.938 0.003 0.659
71 Si 0.938 0.497 0.659
72 Si 0.984 0.250 0.952

[4]
Sr2HfCr2: PBEsol geometry, meta-GGA SCAN.

energy relative to the elements	118.9	kJ per mole of atoms

Cell lengths 4.200, 4.200, 13.201 Å; angles 90.00, 90.00, 90.00 degrees
Element x y z (fractional)
1 Sr 0.000 0.500 0.250
2 Sr 0.000 0.500 0.750
3 Sr 0.500 0.000 0.250
4 Sr 0.500 0.000 0.750
5 Hf 0.000 0.000 0.000
6 Hf 0.500 0.500 0.500
7 Cr 0.000 0.000 0.432
8 Cr 0.000 0.000 0.568
9 Cr 0.500 0.500 0.068
10 Cr 0.500 0.500 0.932

[5]
Sr2HfZrCr: PBEsol geometry, meta-GGA SCAN.

energy relative to the elements	106.8	kJ per mole of atoms

Cell lengths 5.582, 5.582, 4.868 Å; angles 90.00, 90.00, 90.00 degrees
Element x y z (fractional)
1 Sr 0.000 0.500 0.000
2 Sr 0.500 0.000 0.000
3 Hf 0.000 0.000 0.500
4 Zr 0.500 0.500 0.500
5 Cr 0.000 0.000 0.000

[6]
HfTa3Cr: PBEsol geometry, meta-GGA SCAN.

energy relative to the elements	190.4	kJ per mole of atoms

Cell lengths 4.827, 4.827, 4.827 Å; angles 90.00, 90.00, 90.00 degrees
Element x y z (fractional)
1 Hf 0.000 0.000 0.000
2 Ta 0.000 0.000 0.500
3 Ta 0.000 0.500 0.000
4 Ta 0.500 0.000 0.000
5 Cr 0.500 0.500 0.500

[7]
HfCrTc3: PBEsol geometry, meta-GGA SCAN.

energy relative to the elements	177.6	kJ per mole of atoms

Cell lengths 4.634, 4.634, 4.634 Å; angles 90.00, 90.00, 90.00 degrees
Element x y z (fractional)
1 Hf 0.000 0.000 0.000
2 Cr 0.500 0.500 0.500
3 Tc 0.000 0.000 0.500
4 Tc 0.000 0.500 0.000
5 Tc 0.500 0.000 0.000

[8]
HfCr3Tc: PBEsol geometry, meta-GGA SCAN.

energy relative to the elements	101.2	kJ per mole of atoms

Cell lengths 4.375, 4.375, 4.375 Å; angles 90.00, 90.00, 90.00 degrees
Element x y z (fractional)
1 Hf 0.000 0.000 0.000
2 Cr 0.000 0.500 0.500
3 Cr 0.500 0.000 0.500
4 Cr 0.500 0.500 0.000
5 Tc 0.500 0.500 0.500

[9]
HfCr3Te: PBEsol geometry, meta-GGA SCAN.

E_form (uncorrected)	1212	meV per atom

Cell lengths 4.662, 4.662, 4.662 Å; angles 90.00, 90.00, 90.00 degrees
Element x y z (fractional)
1 Hf 0.000 0.000 0.000
2 Cr 0.000 0.500 0.500
3 Cr 0.500 0.000 0.500
4 Cr 0.500 0.500 0.000
5 Te 0.500 0.500 0.500

[10]
Y2HfCrTe: PBEsol geometry, meta-GGA SCAN.

E_form (uncorrected)	548	meV per atom

Cell lengths 5.026, 5.026, 4.858 Å; angles 90.00, 90.00, 90.00 degrees
Element x y z (fractional)
1 Y 0.000 0.500 0.000
2 Y 0.500 0.000 0.000
3 Hf 0.000 0.000 0.500
4 Cr 0.500 0.500 0.000
5 Te 0.500 0.500 0.500

[11]
HfTiCr3: PBEsol geometry, meta-GGA SCAN.

energy relative to the elements	98.4	kJ per mole of atoms

Cell lengths 4.278, 4.278, 4.278 Å; angles 90.00, 90.00, 90.00 degrees
Element x y z (fractional)
1 Hf 0.000 0.000 0.000
2 Ti 0.500 0.500 0.500
3 Cr 0.000 0.500 0.500
4 Cr 0.500 0.000 0.500
5 Cr 0.500 0.500 0.000

[12]
Hf2TlCr: PBEsol geometry, meta-GGA SCAN.

energy relative to the elements	13.5	kJ per mole of atoms

Cell lengths 6.672, 6.672, 6.672 Å; angles 90.00, 90.00, 90.00 degrees
Element x y z (fractional)
1 Hf 0.250 0.250 0.250
2 Hf 0.250 0.250 0.750
3 Hf 0.250 0.750 0.250
4 Hf 0.250 0.750 0.750
5 Hf 0.750 0.250 0.250
6 Hf 0.750 0.250 0.750
7 Hf 0.750 0.750 0.250
8 Hf 0.750 0.750 0.750
9 Tl 0.000 0.000 0.000
10 Tl 0.000 0.500 0.500
11 Tl 0.500 0.000 0.500
12 Tl 0.500 0.500 0.000
13 Cr 0.000 0.000 0.500
14 Cr 0.000 0.500 0.000
15 Cr 0.500 0.000 0.000
16 Cr 0.500 0.500 0.500

[13]
CrHg: PBEsol geometry, meta-GGA SCAN.

energy relative to the elements	14.8	kJ per mole of atoms

Cell lengths 9.817, 3.101, 7.142 Å; angles 90.00, 111.08, 90.00 degrees
Element x y z (fractional)
1 Cr 0.000 0.000 0.000
2 Cr 0.013 0.000 0.445
3 Cr 0.386 0.000 0.162
4 Cr 0.500 0.500 0.000
5 Cr 0.513 0.500 0.445
6 Cr 0.886 0.500 0.162
7 Hg 0.184 0.500 0.836
8 Hg 0.195 0.500 0.295
9 Hg 0.366 0.000 0.652
10 Hg 0.684 0.000 0.836
11 Hg 0.695 0.000 0.295
12 Hg 0.866 0.500 0.652

[14]
Cr3Hg: PBEsol geometry, meta-GGA SCAN.

energy relative to the elements	69.6	kJ per mole of atoms

Cell lengths 8.498, 8.498, 2.576 Å; angles 90.00, 90.00, 120.00 degrees
Element x y z (fractional)
1 Cr 0.000 0.500 0.000
2 Cr 0.167 0.333 0.333
3 Cr 0.167 0.833 0.333
4 Cr 0.333 0.167 0.667
5 Cr 0.500 0.000 0.000
6 Cr 0.500 0.500 0.000
7 Cr 0.667 0.833 0.333
8 Cr 0.833 0.167 0.667
9 Cr 0.833 0.667 0.667
10 Hg 0.000 0.000 0.000
11 Hg 0.333 0.667 0.667
12 Hg 0.667 0.333 0.333

[15]
Cr3Hg: PBEsol geometry, meta-GGA SCAN.

energy relative to the elements	45.7	kJ per mole of atoms

Cell lengths 3.068, 4.232, 8.161 Å; angles 90.00, 90.00, 90.00 degrees
Element x y z (fractional)
1 Cr 0.000 0.000 0.000
2 Cr 0.000 0.500 0.275
3 Cr 0.000 0.500 0.725
4 Cr 0.500 0.000 0.225
5 Cr 0.500 0.000 0.775
6 Cr 0.500 0.500 0.500
7 Hg 0.000 0.000 0.500
8 Hg 0.500 0.500 0.000

[16]
Cr2Hg: PBEsol geometry, meta-GGA SCAN.

energy relative to the elements	68.9	kJ per mole of atoms

Cell lengths 4.202, 4.202, 2.751 Å; angles 90.00, 90.00, 120.00 degrees
Element x y z (fractional)
1 Cr 0.333 0.667 0.000
2 Cr 0.667 0.333 0.000
3 Hg 0.000 0.000 0.500

[17]
Cr2Hg: PBEsol geometry, meta-GGA SCAN.

energy relative to the elements	33.6	kJ per mole of atoms

Cell lengths 10.353, 2.948, 6.129 Å; angles 90.00, 101.07, 90.00 degrees
Element x y z (fractional)
1 Cr 0.000 0.000 0.000
2 Cr 0.075 0.000 0.680
3 Cr 0.214 0.500 0.508
4 Cr 0.358 0.000 0.760
5 Cr 0.500 0.500 0.000
6 Cr 0.575 0.500 0.680
7 Cr 0.714 0.000 0.508
8 Cr 0.858 0.500 0.760
9 Hg 0.224 0.500 0.039
10 Hg 0.430 0.000 0.347
11 Hg 0.724 0.000 0.039
12 Hg 0.930 0.500 0.347

[18]
CrHg: PBEsol geometry, meta-GGA SCAN.

energy relative to the elements	32.3	kJ per mole of atoms

Cell lengths 3.150, 3.150, 4.346 Å; angles 90.00, 90.00, 120.00 degrees
Element x y z (fractional)
1 Cr 0.000 0.000 0.000
2 Hg 0.667 0.333 0.500

[19]
Cr2Hg: PBEsol geometry, meta-GGA SCAN.

energy relative to the elements	50.0	kJ per mole of atoms

Cell lengths 2.863, 2.863, 6.260 Å; angles 90.00, 90.00, 120.00 degrees
Element x y z (fractional)
1 Cr 0.333 0.667 0.118
2 Cr 0.667 0.333 0.882
3 Hg 0.000 0.000 0.500

[20]
CrHgIO2: PBEsol geometry, meta-GGA SCAN.

E_form (uncorrected)	351	meV per atom

Cell lengths 4.090, 4.090, 6.494 Å; angles 90.00, 90.00, 90.00 degrees
Element x y z (fractional)
1 Cr 0.000 0.000 0.000
2 Hg 0.500 0.500 0.500
3 I 0.500 0.500 0.000
4 O 0.000 0.500 0.500
5 O 0.500 0.000 0.500

[21]
CrInHg2: PBEsol geometry, meta-GGA SCAN.

energy relative to the elements	14.6	kJ per mole of atoms

Cell lengths 3.269, 3.269, 27.329 Å; angles 90.00, 90.00, 120.00 degrees
Element x y z (fractional)
1 Cr 0.000 0.000 0.000
2 Cr 0.333 0.667 0.667
3 Cr 0.667 0.333 0.333
4 In 0.000 0.000 0.500
5 In 0.333 0.667 0.167
6 In 0.667 0.333 0.833
7 Hg 0.000 0.000 0.258
8 Hg 0.000 0.000 0.742
9 Hg 0.333 0.667 0.409
10 Hg 0.333 0.667 0.924
11 Hg 0.667 0.333 0.076
12 Hg 0.667 0.333 0.591

[22]
CrIn2Hg: PBEsol geometry, meta-GGA SCAN.

energy relative to the elements	13.2	kJ per mole of atoms

Cell lengths 4.351, 4.351, 4.192 Å; angles 90.00, 90.00, 90.00 degrees
Element x y z (fractional)
1 Cr 0.000 0.000 0.000
2 In 0.000 0.500 0.500
3 In 0.500 0.000 0.500
4 Hg 0.500 0.500 0.000

[23]
CrIn2Hg: PBEsol geometry, meta-GGA SCAN.

energy relative to the elements	14.4	kJ per mole of atoms

Cell lengths 4.287, 4.287, 8.842 Å; angles 90.00, 90.00, 90.00 degrees
Element x y z (fractional)
1 Cr 0.000 0.000 0.000
2 Cr 0.500 0.500 0.500
3 In 0.000 0.500 0.250
4 In 0.000 0.500 0.750
5 In 0.500 0.000 0.250
6 In 0.500 0.000 0.750
7 Hg 0.000 0.000 0.500
8 Hg 0.500 0.500 0.000

[24]
CrInHg2: PBEsol geometry, meta-GGA SCAN.

energy relative to the elements	14.5	kJ per mole of atoms

Cell lengths 4.322, 4.322, 4.203 Å; angles 90.00, 90.00, 90.00 degrees
Element x y z (fractional)
1 Cr 0.000 0.000 0.000
2 In 0.500 0.500 0.000
3 Hg 0.000 0.500 0.500
4 Hg 0.500 0.000 0.500

[25]
CrInHg2: PBEsol geometry, meta-GGA SCAN.

energy relative to the elements	16.6	kJ per mole of atoms

Cell lengths 3.245, 3.245, 27.363 Å; angles 90.00, 90.00, 120.00 degrees
Element x y z (fractional)
1 Cr 0.000 0.000 0.000
2 Cr 0.333 0.667 0.667
3 Cr 0.667 0.333 0.333
4 In 0.000 0.000 0.745
5 In 0.333 0.667 0.411
6 In 0.667 0.333 0.078
7 Hg 0.000 0.000 0.257
8 Hg 0.000 0.000 0.502
9 Hg 0.333 0.667 0.168
10 Hg 0.333 0.667 0.924
11 Hg 0.667 0.333 0.591
12 Hg 0.667 0.333 0.835

[26]
CrIn3Hg: PBEsol geometry, meta-GGA SCAN.

energy relative to the elements	26.6	kJ per mole of atoms

Cell lengths 5.134, 5.134, 5.134 Å; angles 90.00, 90.00, 90.00 degrees
Element x y z (fractional)
1 Cr 0.000 0.000 0.000
2 In 0.000 0.000 0.500
3 In 0.000 0.500 0.000
4 In 0.500 0.000 0.000
5 Hg 0.500 0.500 0.500

no.,magnetization (μB/f.u.),raw total energy (eV/atom)
1,4.8,-21.21
2,5.8,-25.02
3,0.0,-30.51
4,0.0,-27.57
5,0.4,-30.15
6,3.3,-54.19
7,1.8,-35.41
8,6.0,-29.53
9,8.4,-29.80
10,0.6,-34.25
11,6.2,-25.75
12,0.0,-53.88
13,1.4,-43.12
14,0.0,-30.11
15,3.0,-30.36
16,0.5,-34.26
17,0.2,-34.63
18,4.2,-42.94
19,0.0,-34.46
20,5.3,-26.80
21,4.2,-46.87
22,3.8,-38.19
23,3.9,-38.18
24,4.0,-46.88
25,4.2,-46.85
26,3.1,-37.07